## Ba2Ni (PBE)

Data for a relaxed structure of Ba2Ni.

The structure in POSCAR format:
```
Ba2Ni
1.0
0.000 6.453 6.453
6.453 0.000 6.453
6.453 6.453 0.000
Ba Ni
4 2
direct
0.125 0.625 0.125
0.125 0.125 0.625
0.125 0.125 0.125
0.625 0.125 0.125
0.250 0.250 0.250
0.000 0.000 0.000
```

***

## NbRe2Si2 (PBE)

Data for a relaxed structure of NbRe2Si2.

The structure in POSCAR format:
```
NbRe2Si2
1.0
3.023 -3.023 0.000
3.023 3.023 0.000
-3.023 0.000 4.549
Re Si Nb
2 2 1
direct
0.375 0.375 0.751
0.625 0.625 0.249
0.250 0.750 0.500
0.750 0.250 0.500
0.000 0.000 0.000
```

***

## TbHoCu2Ge4 (PBE)

Data for a relaxed structure of TbHoCu2Ge4.

The structure in POSCAR format:
```
TbHoCu2Ge4
1.0
-3.006 -1.983 -2.218
-5.775 1.530 6.459
-6.156 4.822 4.032
Tb Ge Cu Ho
1 4 2 1
direct
0.500 0.104 0.104
0.000 0.251 0.251
0.500 0.749 0.749
0.500 0.462 0.462
0.000 0.537 0.537
0.500 0.327 0.327
0.000 0.673 0.673
0.000 0.896 0.896
```

***

## TaTlI6 (PBE)

Data for a relaxed structure of TaTlI6.

The structure in POSCAR format:
```
TaTlI6
1.0
-2.936 5.792 4.142
-7.587 0.499 1.233
3.560 -8.604 9.966
I Tl Ta
12 2 2
direct
0.532 0.330 0.103
0.796 0.910 0.478
0.588 0.835 0.178
0.330 0.532 0.603
0.204 0.090 0.522
0.670 0.468 0.397
0.835 0.588 0.678
0.090 0.204 0.022
0.910 0.796 0.978
0.468 0.670 0.897
0.165 0.412 0.322
0.412 0.165 0.822
0.966 0.034 0.250
0.034 0.966 0.750
0.000 0.500 0.500
0.500 0.000 0.000
```

***

## HoTlSnTe3 (PBE)

Data for a relaxed structure of HoTlSnTe3.

The structure in POSCAR format:
```
HoTlSnTe3
1.0
2.169 -7.959 0.000
2.169 7.959 0.000
0.000 0.000 12.404
Te Ho Tl Sn
6 2 2 2
direct
0.635 0.365 0.999
0.365 0.635 0.499
0.635 0.365 0.501
0.004 0.996 0.750
0.996 0.004 0.250
0.365 0.635 0.001
0.000 0.000 0.500
0.000 0.000 0.000
0.297 0.703 0.250
0.703 0.297 0.750
0.625 0.375 0.250
0.375 0.625 0.750
```

***

## SmHoAu4 (PBE)

Data for a relaxed structure of SmHoAu4.

Output
- Formation energy from the elements: -842 meV per atom
- E above lowest polymorph: 0.000 eV per formula unit

The structure in POSCAR format:
```
SmHoAu4
1.0
-1.005 3.496 -0.923
-2.769 -0.128 2.530
5.633 3.290 6.333
Au Ho Sm
4 1 1
direct
0.500 0.500 0.339
0.000 0.000 0.830
0.000 0.000 0.170
0.500 0.500 0.661
0.000 0.000 0.500
0.500 0.500 0.000
```

***

| no. | theoretical density (g/cm³) | E (eV/atom) |
| --- | --- | --- |
| 1 | 2.1 | -2.50 |
| 2 | 10.4 | -8.87 |
| 3 | 8.3 | -4.90 |
| 4 | 5.6 | -3.41 |
| 5 | 6.8 | -4.05 |
| 6 | 14.3 | -4.57 |